Density functional theory data (PBE) for a geometry-optimized SrY2Tl structure.

Unit cell a=11.547 b=11.547 c=11.547 alpha=18.88 beta=18.88 gamma=18.88
Atoms (fractional coordinates):
Y 0.486 0.486 0.486
Y 0.014 0.014 0.014
Tl 0.750 0.750 0.750
Sr 0.250 0.250 0.250

Summary:
**DFT total energy**: -4.2553 eV/atom
**Formation energy from the elements**: -0.011 eV per atom
**Mass density**: 5540 kg/m³
**Space-group type**: R-3m

Density functional theory data (PBE) for a geometry-optimized SrY2Tl structure.

Unit cell a=6.858 b=6.858 c=6.858 alpha=145.52 beta=132.75 gamma=59.79
Atoms (fractional coordinates):
Y 0.756 0.256 0.500
Y 0.034 0.034 0.000
Sr 0.470 0.470 0.000
Tl 0.240 0.740 0.500

Summary:
**DFT total energy**: -4.3012 eV/atom
**Formation energy from the elements**: -0.057 eV per atom
**Mass density**: 5872 kg/m³
**Space-group type**: Imm2

Density functional theory data (PBE) for a geometry-optimized Sr2Y2Tl7 structure.

Unit cell a=7.910 b=6.359 c=7.910 alpha=90.00 beta=95.45 gamma=90.00
Atoms (fractional coordinates):
Tl 0.000 0.746 0.500
Tl 0.500 0.741 0.500
Tl 0.500 0.254 0.000
Tl 0.000 0.254 0.500
Tl 0.500 0.746 0.000
Tl 0.500 0.259 0.500
Tl 0.000 0.000 0.000
Y 0.268 0.000 0.732
Y 0.732 0.000 0.268
Sr 0.193 0.500 0.193
Sr 0.807 0.500 0.807

Summary:
**DFT total energy**: -2.9894 eV/atom
**Formation energy from the elements**: -0.003 eV per atom
**Mass density**: 7478 kg/m³
**Space-group type**: Cmmm

Density functional theory data (PBE) for a geometry-optimized Sr3YTl structure.

Unit cell a=6.316 b=6.316 c=6.316 alpha=90.00 beta=90.00 gamma=90.00
Site moments in Bohr magnetons follow the coordinates.
Atoms (fractional coordinates):
Y 0.500 0.500 0.500  0.35
Sr 0.500 0.000 0.000  0.03
Sr 0.000 0.000 0.500  0.02
Sr 0.000 0.500 0.000  0.02
Tl 0.000 0.000 0.000  0.00

Summary:
**DFT total energy**: -2.5087 eV/atom
**Formation energy from the elements**: 0.266 eV per atom
**Mass density**: 3666 kg/m³
**Space-group type**: Pm-3m

Density functional theory data (PBE) for a geometry-optimized SrY2Tl structure.

Unit cell a=7.045 b=7.045 c=5.764 alpha=65.87 beta=65.87 gamma=31.65
Atoms (fractional coordinates):
Sr 0.750 0.750 0.750
Y 0.962 0.962 0.038
Y 0.538 0.538 0.462
Tl 0.250 0.250 0.250

Summary:
**DFT total energy**: -4.3986 eV/atom
**Formation energy from the elements**: -0.155 eV per atom
**Mass density**: 5741 kg/m³
**Space-group type**: Immm

Density functional theory data (PBE) for a geometry-optimized SrYTl structure.

Unit cell a=5.330 b=5.330 c=5.330 alpha=60.00 beta=60.00 gamma=60.00
Atoms (fractional coordinates):
Sr 0.750 0.750 0.750
Y 0.500 0.500 0.500
Tl 0.250 0.250 0.250

Summary:
**DFT total energy**: -3.2246 eV/atom
**Formation energy from the elements**: 0.279 eV per atom
**Mass density**: 5909 kg/m³
**Space-group type**: F-43m

Density functional theory data (PBE) for a geometry-optimized SrY5Tl3 structure.

Unit cell a=6.918 b=9.452 c=9.452 alpha=120.00 beta=90.00 gamma=90.00
Site moments in Bohr magnetons follow the coordinates.
Atoms (fractional coordinates):
Tl 0.750 0.666 0.000  0.00
Tl 0.750 0.000 0.666  0.00
Tl 0.250 0.000 0.334  0.00
Tl 0.250 0.334 0.000  0.00
Tl 0.250 0.666 0.666  0.00
Tl 0.750 0.334 0.334  0.00
Y 0.750 0.661 0.661  0.05
Y 0.500 0.667 0.333  0.11
Y 0.000 0.333 0.667  0.11
Y 0.250 0.339 0.339  0.05
Y 0.750 0.000 0.339  0.05
Y 0.250 0.661 0.000  0.05
Y 0.750 0.339 0.000  0.05
Y 0.250 0.000 0.661  0.05
Y 0.000 0.667 0.333  0.11
Y 0.500 0.333 0.667  0.11
Sr 0.500 0.000 0.000  0.00
Sr 0.000 0.000 0.000  0.00

Summary:
**DFT total energy**: -4.8369 eV/atom
**Formation energy from the elements**: -0.270 eV per atom
**Mass density**: 7107 kg/m³
**Space-group type**: P6_3/mcm

Density functional theory data (PBE) for a geometry-optimized SrYTl structure.

Unit cell a=3.703 b=6.690 c=9.467 alpha=108.53 beta=78.73 gamma=73.92
Site moments in Bohr magnetons follow the coordinates.
Atoms (fractional coordinates):
Tl 0.487 0.098 0.200  0.01
Tl 0.915 0.770 0.673  0.01
Y 0.310 0.692 0.962  0.14
Y 0.092 0.177 0.912  0.14
Sr 0.735 0.249 0.553  0.01
Sr 0.666 0.620 0.320  0.01

Summary:
**DFT total energy**: -3.7110 eV/atom
**Formation energy from the elements**: -0.207 eV per atom
**Mass density**: 6231 kg/m³
**Space-group type**: C2/m

Density functional theory data (PBE) for a geometry-optimized SrYTl structure.

Unit cell a=3.899 b=5.781 c=9.128 alpha=102.24 beta=90.00 gamma=90.01
Atoms (fractional coordinates):
Y 0.488 0.811 0.937
Y 0.988 0.311 0.937
Tl 0.989 0.628 0.656
Tl 0.989 0.994 0.218
Sr 0.488 0.105 0.572
Sr 0.488 0.518 0.301

Summary:
**DFT total energy**: -3.7353 eV/atom
**Formation energy from the elements**: -0.231 eV per atom
**Mass density**: 6291 kg/m³
**Space-group type**: P2/m

Density functional theory data (PBE) for a geometry-optimized SrYTl structure.

Unit cell a=7.448 b=7.448 c=3.895 alpha=74.84 beta=74.85 gamma=30.31
Atoms (fractional coordinates):
Sr 0.983 0.983 0.017
Y 0.698 0.698 0.302
Tl 0.319 0.319 0.681

Summary:
**DFT total energy**: -3.6857 eV/atom
**Formation energy from the elements**: -0.182 eV per atom
**Mass density**: 6025 kg/m³
**Space-group type**: I4mm

Density functional theory data (PBE) for a geometry-optimized SrY2Tl2 structure.

Unit cell a=9.300 b=9.300 c=3.667 alpha=90.00 beta=90.00 gamma=90.00
Atoms (fractional coordinates):
Sr 0.500 0.500 0.000
Sr 0.000 0.000 0.000
Y 0.863 0.363 0.500
Y 0.637 0.863 0.500
Y 0.363 0.137 0.500
Y 0.137 0.637 0.500
Tl 0.665 0.165 0.000
Tl 0.835 0.665 0.000
Tl 0.335 0.835 0.000
Tl 0.165 0.335 0.000

Summary:
**DFT total energy**: -4.1640 eV/atom
**Formation energy from the elements**: -0.296 eV per atom
**Mass density**: 7060 kg/m³
**Space-group type**: P4/mbm

Density functional theory data (PBE) for a geometry-optimized SrY2Tl structure.

Unit cell a=5.392 b=3.787 c=6.966 alpha=74.51 beta=90.00 gamma=90.00
Atoms (fractional coordinates):
Sr 0.500 0.250 0.250
Y 0.000 0.592 0.536
Y 0.000 0.908 0.964
Tl 0.500 0.750 0.750

Summary:
**DFT total energy**: -4.2779 eV/atom
**Formation energy from the elements**: -0.034 eV per atom
**Mass density**: 5691 kg/m³
**Space-group type**: P2/m